BO after structural relaxation. Source: Alexandria, functional PBE-GGA.

Summary:
The space group is Fm-3m. The uncorrected formation energy is 1.6 eV/f.u. Its size of the total moment is 0.123 μB per formula unit. Its total energy is -5.037 eV/atom. The polymorph energy (0 for the lowest one) is 2608 meV per atom.

Cell: 2.745 2.745 2.745 Å, 60.00 60.00 60.00°
Positions (direct):
B 0.000 0.000 0.000
O 0.500 0.500 0.500